Below is crystalline KTl at its relaxed geometry, with properties calculated at the PBE level.

Lattice parameters (Å, degrees): 4.135 4.135 9.807 90.00 90.00 90.00
Atoms (fractional coordinates):
K (0.250, 0.250, 0.190)
K (0.750, 0.750, 0.810)
Tl (0.250, 0.250, 0.589)
Tl (0.750, 0.750, 0.411)

Computed properties:
Mass density, g/cm3: 4.822
Final energy, eV per atom: -1.7995
DFT formation energy, eV/atom: -0.068
SG: No. 129

***

Below is crystalline KTl at its relaxed geometry, with properties calculated at the PBE level.

Lattice parameters (Å, degrees): 5.589 5.589 5.589 60.00 60.00 60.00
Atoms (fractional coordinates):
K (0.000, 0.000, 0.000)
Tl (0.250, 0.250, 0.250)

Computed properties:
Mass density, g/cm3: 3.275
Final energy, eV per atom: -1.2963
DFT formation energy, eV/atom: 0.436
SG: No. 216

***

Below is crystalline KTl at its relaxed geometry, with properties calculated at the PBE level.

Lattice parameters (Å, degrees): 7.378 8.888 10.160 90.00 90.00 90.00
Atoms (fractional coordinates):
K (0.021, 0.171, 0.052)
K (0.118, 0.567, 0.808)
K (0.382, 0.433, 0.308)
K (0.479, 0.829, 0.552)
K (0.521, 0.329, 0.948)
K (0.618, 0.933, 0.192)
K (0.882, 0.067, 0.692)
K (0.979, 0.671, 0.448)
Tl (0.153, 0.041, 0.366)
Tl (0.164, 0.784, 0.118)
Tl (0.336, 0.216, 0.618)
Tl (0.347, 0.959, 0.866)
Tl (0.653, 0.459, 0.634)
Tl (0.664, 0.716, 0.882)
Tl (0.836, 0.284, 0.382)
Tl (0.847, 0.541, 0.134)

Computed properties:
Mass density, g/cm3: 4.855
Final energy, eV per atom: -1.7724
DFT formation energy, eV/atom: -0.040
SG: No. 19

***

Below is crystalline K3Tl11 at its relaxed geometry, with properties calculated at the PBE level.

Lattice parameters (Å, degrees): 10.028 10.028 10.028 149.28 107.72 80.56
Atoms (fractional coordinates):
K (0.000, 0.000, 0.000)
K (0.299, 0.299, 0.000)
K (0.701, 0.701, 0.000)
Tl (0.025, 0.658, 0.367)
Tl (0.135, 0.856, 0.279)
Tl (0.291, 0.658, 0.633)
Tl (0.321, 0.500, 0.821)
Tl (0.423, 0.144, 0.279)
Tl (0.500, 0.000, 0.500)
Tl (0.577, 0.856, 0.721)
Tl (0.679, 0.500, 0.179)
Tl (0.709, 0.342, 0.367)
Tl (0.865, 0.144, 0.721)
Tl (0.975, 0.342, 0.633)

Computed properties:
Mass density, g/cm3: 8.173
Final energy, eV per atom: -2.1638
DFT formation energy, eV/atom: -0.069
SG: No. 71